one.
Material: Li2BBr2
Method: DFT, PBE
State: optimized geometry

The structure in extended XYZ format:
```
5
Lattice="-2.251 2.251 6.255 2.251 -2.251 6.255 2.251 2.251 -6.255" Properties=species:S:1:pos:R:3 pbc="T T T"
Li 2.251 0.000 3.128
Li 0.000 2.251 3.128
B 0.000 0.000 0.000
Br 0.000 0.000 4.358
Br 0.000 0.000 8.153
```

Computed properties:
- symmetry = No. 139

two.
Material: Li2BBr2
Method: DFT, PBE
State: optimized geometry

The structure in extended XYZ format:
```
10
Lattice="7.491 0.000 0.000 0.000 7.491 0.000 0.000 0.000 3.550" Properties=species:S:1:pos:R:3 pbc="T T T"
Li 1.211 2.534 0.000
Li 2.534 6.280 0.000
Li 4.956 1.211 0.000
Li 6.280 4.956 0.000
B 0.000 0.000 1.775
B 3.745 3.745 1.775
Br 1.216 4.962 1.775
Br 2.529 1.216 1.775
Br 4.962 6.274 1.775
Br 6.274 2.529 1.775
```

Computed properties:
- symmetry = No. 127

If we sort the structures by their calculated energies, the order from most to least stable is two, one.

one.
Material: LiBBr2
Method: DFT, PBE
State: optimized geometry

The structure in extended XYZ format:
```
8
Lattice="-2.957 2.957 6.243 2.957 -2.957 6.243 2.957 2.957 -6.243" Properties=species:S:1:pos:R:3 pbc="T T T"
Li 0.000 0.000 0.000
Li 0.000 2.957 3.122
B 2.957 0.000 3.122
B 0.000 0.000 6.243
Br 4.436 1.434 -1.561
Br 1.434 1.479 1.561
Br -1.479 1.524 4.682
Br 1.524 1.479 7.804
```

Computed properties:
- symmetry = No. 122

two.
Material: LiBBr2
Method: DFT, PBE
State: optimized geometry

The structure in extended XYZ format:
```
4
Lattice="0.000 3.479 3.479 3.479 0.000 3.479 3.479 3.479 0.000" Properties=species:S:1:pos:R:3 pbc="T T T"
Li 0.000 0.000 0.000
B 3.479 3.479 3.479
Br 1.739 1.739 1.739
Br 5.218 5.218 5.218
```

Computed properties:
- symmetry = No. 225

If we sort the structures by their calculated energies, the order from most to least stable is one, two.

one.
Material: LiBSeBr2
Method: DFT, PBE
State: optimized geometry

The structure in extended XYZ format:
```
5
Lattice="5.031 0.000 0.000 0.000 5.031 0.000 0.000 0.000 4.748" Properties=species:S:1:pos:R:3 pbc="T T T"
Li 0.000 0.000 0.000
B 2.515 2.515 2.374
Se 0.000 0.000 2.374
Br 0.000 2.515 0.000
Br 2.515 0.000 0.000
```

Computed properties:
- symmetry = No. 123

two.
Material: LiBSeBr2
Method: DFT, PBE
State: optimized geometry

The structure in extended XYZ format:
```
5
Lattice="5.343 0.000 0.000 0.000 5.343 0.000 0.000 0.000 4.034" Properties=species:S:1:pos:R:3 pbc="T T T"
Li 0.000 0.000 0.000
B 2.671 2.671 2.017
Se 2.671 2.671 0.000
Br 0.000 2.671 2.017
Br 2.671 0.000 2.017
```

Computed properties:
- symmetry = No. 123

If we sort the structures by their calculated energies, the order from most to least stable is two, one.

one.
Material: MgB2Br8
Method: DFT, PBE
State: optimized geometry

The structure in extended XYZ format:
```
11
Lattice="5.893 -5.281 0.000 5.893 5.281 0.000 -0.566 0.000 5.981" Properties=species:S:1:pos:R:3 pbc="T T T"
Mg 0.000 0.000 0.000
B 1.992 0.000 3.928
B 9.228 0.000 2.053
Br 4.406 3.621 1.415
Br 2.135 0.000 1.893
Br 6.813 3.621 4.565
Br 3.822 0.000 4.670
Br 7.398 0.000 1.311
Br 4.406 -3.621 1.415
Br 9.085 0.000 4.088
Br 6.813 -3.621 4.565
```

Computed properties:
- symmetry = No. 12

two.
Material: MgB2Br8
Method: DFT, PBE
State: optimized geometry

The structure in extended XYZ format:
```
22
Lattice="9.061 -4.675 0.000 9.061 4.675 0.000 -6.699 0.000 9.268" Properties=species:S:1:pos:R:3 pbc="T T T"
Mg 4.036 4.486 6.951
Mg 7.386 -4.486 2.317
B 4.433 2.563 4.266
B 10.339 2.563 0.368
B 1.083 -2.563 8.900
B 6.989 -2.563 5.002
Br -0.775 0.509 4.801
Br 5.562 2.816 2.548
Br 2.407 2.600 7.997
Br 2.575 -0.509 0.167
Br 3.441 0.874 4.119
Br 5.666 2.600 5.905
Br 9.210 2.816 2.086
Br 0.091 -0.874 8.753
Br 11.332 0.874 0.515
Br 2.212 -2.816 7.182
Br 5.756 -2.600 3.363
Br 7.982 -0.874 5.149
Br 8.848 0.509 9.100
Br 9.016 -2.600 1.271
Br 5.860 -2.816 6.720
Br 12.197 -0.509 4.466
```

Computed properties:
- symmetry = No. 15

If we sort the structures by their calculated energies, the order from most to least stable is two, one.

one.
Material: MgBSeBr2
Method: DFT, PBE
State: optimized geometry

The structure in extended XYZ format:
```
5
Lattice="4.614 0.000 0.000 0.000 4.614 0.000 0.000 0.000 4.863" Properties=species:S:1:pos:R:3 pbc="T T T"
Mg 0.000 0.000 0.000
B 2.307 2.307 2.432
Se 2.307 2.307 0.000
Br 0.000 2.307 2.432
Br 2.307 0.000 2.432
```

Computed properties:
- symmetry = No. 123

two.
Material: MgBSeBr2
Method: DFT, PBE
State: optimized geometry

The structure in extended XYZ format:
```
5
Lattice="5.198 0.000 0.000 0.000 5.198 0.000 0.000 0.000 5.202" Properties=species:S:1:pos:R:3 pbc="T T T"
Mg 0.000 0.000 0.000
B 2.599 2.599 2.601
Se 0.000 0.000 2.601
Br 0.000 2.599 0.000
Br 2.599 0.000 0.000
```

Computed properties:
- symmetry = No. 123

If we sort the structures by their calculated energies, the order from most to least stable is one, two.

one.
Material: MnB3Br
Method: DFT, PBE
State: optimized geometry

The structure in extended XYZ format:
```
5
Lattice="4.090 0.000 0.000 0.000 4.090 0.000 0.000 0.000 4.090" Properties=species:S:1:pos:R:3 pbc="T T T"
Mn 0.000 0.000 0.000
B 0.000 0.000 2.045
B 0.000 2.045 0.000
B 2.045 0.000 0.000
Br 2.045 2.045 2.045
```

Computed properties:
- symmetry = No. 221

two.
Material: MnB3Br
Method: DFT, PBE
State: optimized geometry

The structure in extended XYZ format:
```
5
Lattice="4.041 0.000 0.000 0.000 4.041 0.000 0.000 0.000 4.041" Properties=species:S:1:pos:R:3 pbc="T T T"
Mn 0.000 0.000 0.000
B 0.000 2.021 2.021
B 2.021 0.000 2.021
B 2.021 2.021 0.000
Br 2.021 2.021 2.021
```

Computed properties:
- symmetry = No. 221

If we sort the structures by their calculated energies, the order from most to least stable is one, two.

one.
Material: MnB2Br
Method: DFT, PBE
State: optimized geometry

The structure in extended XYZ format:
```
4
Lattice="0.000 2.770 2.770 2.770 0.000 2.770 2.770 2.770 0.000" Properties=species:S:1:pos:R:3 pbc="T T T"
Mn 0.000 0.000 0.000
B 1.385 1.385 1.385
B 4.155 4.155 4.155
Br 2.770 2.770 2.770
```

Computed properties:
- symmetry = No. 225

two.
Material: MnB2Br
Method: DFT, PBE
State: optimized geometry

The structure in extended XYZ format:
```
8
Lattice="-2.541 2.541 4.719 2.541 -2.541 4.719 2.541 2.541 -4.719" Properties=species:S:1:pos:R:3 pbc="T T T"
Mn 0.000 0.000 0.000
Mn 0.000 2.541 2.359
B 3.811 0.932 -1.180
B 0.932 1.270 1.180
B -1.270 1.608 3.539
B 1.608 1.270 5.899
Br 2.541 0.000 2.359
Br 0.000 0.000 4.719
```

Computed properties:
- symmetry = No. 122

If we sort the structures by their calculated energies, the order from most to least stable is two, one.

one.
Material: Mn2BBr
Method: DFT, PBE
State: optimized geometry

The structure in extended XYZ format:
```
4
Lattice="0.000 2.793 2.793 2.793 0.000 2.793 2.793 2.793 0.000" Properties=species:S:1:pos:R:3 pbc="T T T"
Mn 1.397 1.397 1.397
Mn 4.190 4.190 4.190
B 0.000 0.000 0.000
Br 2.793 2.793 2.793
```

Computed properties:
- symmetry = No. 225

two.
Material: Mn2BBr
Method: DFT, PBE
State: optimized geometry

The structure in extended XYZ format:
```
8
Lattice="-2.635 2.635 5.156 2.635 -2.635 5.156 2.635 2.635 -5.156" Properties=species:S:1:pos:R:3 pbc="T T T"
Mn 3.953 0.834 -1.289
Mn 0.834 1.318 1.289
Mn -1.318 1.801 3.867
Mn 1.801 1.318 6.445
B 0.000 0.000 0.000
B 0.000 2.635 2.578
Br 2.635 0.000 2.578
Br 0.000 0.000 5.156
```

Computed properties:
- symmetry = No. 122

If we sort the structures by their calculated energies, the order from most to least stable is two, one.

one.
Material: B3MoBr
Method: DFT, PBE
State: optimized geometry

The structure in extended XYZ format:
```
5
Lattice="4.352 0.000 0.000 0.000 4.352 0.000 0.000 0.000 4.352" Properties=species:S:1:pos:R:3 pbc="T T T"
B 0.000 0.000 2.176
B 0.000 2.176 0.000
B 2.176 0.000 0.000
Mo 0.000 0.000 0.000
Br 2.176 2.176 2.176
```

Computed properties:
- symmetry = No. 221

two.
Material: B3MoBr
Method: DFT, PBE
State: optimized geometry

The structure in extended XYZ format:
```
5
Lattice="4.021 0.000 0.000 0.000 4.021 0.000 0.000 0.000 4.021" Properties=species:S:1:pos:R:3 pbc="T T T"
B 0.000 0.000 2.010
B 0.000 2.010 0.000
B 2.010 0.000 0.000
Mo 2.010 2.010 2.010
Br 0.000 0.000 0.000
```

Computed properties:
- symmetry = No. 221

If we sort the structures by their calculated energies, the order from most to least stable is one, two.

one.
Material: B2MoBr2
Method: DFT, PBE
State: optimized geometry

The structure in extended XYZ format:
```
10
Lattice="6.328 0.000 0.000 0.000 6.328 0.000 0.000 0.000 4.565" Properties=species:S:1:pos:R:3 pbc="T T T"
B 1.495 1.669 0.000
B 1.669 4.833 0.000
B 4.659 1.495 0.000
B 4.833 4.659 0.000
Mo 0.000 0.000 0.000
Mo 3.164 3.164 0.000
Br 1.306 1.858 2.282
Br 1.858 5.022 2.282
Br 4.470 1.306 2.282
Br 5.022 4.470 2.282
```

Computed properties:
- symmetry = No. 127

two.
Material: B2MoBr2
Method: DFT, PBE
State: optimized geometry

The structure in extended XYZ format:
```
5
Lattice="-1.490 1.490 10.257 1.490 -1.490 10.257 1.490 1.490 -10.257" Properties=species:S:1:pos:R:3 pbc="T T T"
B 1.490 0.000 5.128
B 0.000 1.490 5.128
Mo 0.000 0.000 0.000
Br 0.000 0.000 8.604
Br 0.000 0.000 11.909
```

Computed properties:
- symmetry = No. 139

If we sort the structures by their calculated energies, the order from most to least stable is two, one.

one.
Material: B2MoBr2
Method: DFT, PBE
State: optimized geometry

The structure in extended XYZ format:
```
5
Lattice="-2.468 2.468 3.104 2.468 -2.468 3.104 2.468 2.468 -3.104" Properties=species:S:1:pos:R:3 pbc="T T T"
B 0.000 0.000 0.816
B 0.000 0.000 5.391
Mo 0.000 0.000 3.104
Br 2.468 0.000 1.552
Br 0.000 2.468 1.552
```

Computed properties:
- symmetry = No. 139

two.
Material: B2MoBr2
Method: DFT, PBE
State: optimized geometry

The structure in extended XYZ format:
```
10
Lattice="7.112 0.000 0.000 0.000 7.112 0.000 0.000 0.000 3.039" Properties=species:S:1:pos:R:3 pbc="T T T"
B 1.525 2.030 0.000
B 2.030 5.586 0.000
B 5.081 1.525 0.000
B 5.586 5.081 0.000
Mo 0.000 0.000 1.519
Mo 3.556 3.556 1.519
Br 1.030 4.586 1.519
Br 2.526 1.030 1.519
Br 4.586 6.081 1.519
Br 6.081 2.526 1.519
```

Computed properties:
- symmetry = No. 127

If we sort the structures by their calculated energies, the order from most to least stable is one, two.

one.
Material: BMo2Br
Method: DFT, PBE
State: optimized geometry

The structure in extended XYZ format:
```
8
Lattice="-2.710 2.710 5.057 2.710 -2.710 5.057 2.710 2.710 -5.057" Properties=species:S:1:pos:R:3 pbc="T T T"
B 0.000 0.000 0.000
B 0.000 2.710 2.528
Mo 4.065 0.904 -1.264
Mo 0.904 1.355 1.264
Mo -1.355 1.806 3.792
Mo 1.806 1.355 6.321
Br 2.710 0.000 2.528
Br 0.000 0.000 5.057
```

Computed properties:
- symmetry = No. 122

two.
Material: BMo2Br
Method: DFT, PBE
State: optimized geometry

The structure in extended XYZ format:
```
4
Lattice="0.000 3.002 3.002 3.002 0.000 3.002 3.002 3.002 0.000" Properties=species:S:1:pos:R:3 pbc="T T T"
B 0.000 0.000 0.000
Mo 1.501 1.501 1.501
Mo 4.504 4.504 4.504
Br 3.002 3.002 3.002
```

Computed properties:
- symmetry = No. 225

If we sort the structures by their calculated energies, the order from most to least stable is two, one.

one.
Material: B3BrN
Method: DFT, PBE
State: optimized geometry

The structure in extended XYZ format:
```
5
Lattice="4.071 0.000 0.000 0.000 4.071 0.000 0.000 0.000 4.071" Properties=species:S:1:pos:R:3 pbc="T T T"
B 0.000 0.000 2.035
B 0.000 2.035 0.000
B 2.035 0.000 0.000
Br 0.000 0.000 0.000
N 2.035 2.035 2.035
```

Computed properties:
- symmetry = No. 221

two.
Material: B3BrN
Method: DFT, PBE
State: optimized geometry

The structure in extended XYZ format:
```
5
Lattice="3.733 0.000 0.000 0.000 3.733 0.000 0.000 0.000 3.733" Properties=species:S:1:pos:R:3 pbc="T T T"
B 0.000 0.000 1.866
B 0.000 1.866 0.000
B 1.866 0.000 0.000
Br 1.866 1.866 1.866
N 0.000 0.000 0.000
```

Computed properties:
- symmetry = No. 221

If we sort the structures by their calculated energies, the order from most to least stable is two, one.